# 1
Compound: AlZn2Co
Source: Alexandria via LeMat-Bulk
Functional: PBE
Structure: optimized geometry

calculated volume: 13.5 Å³ per atom
calculated formation energy: -4.3 kJ/mol of atoms

Cell: 4.5803 2.6310 4.4868 Å, 87.54 90.00 90.00°
With the nearest neighbours (Å) after each atom.
Atoms (fractional coordinates):
Al: 0.5000 0.2500 0.2500  4 Co 2.55-2.65, 2 Al 2.63, 4 Zn 2.67
Zn: 0.0000 0.9937 0.9918  6 Zn 2.51-2.73, 2 Co 2.63, 2 Al 2.67
Zn: 0.0000 0.5063 0.5082  6 Zn 2.51-2.73, 2 Co 2.63, 2 Al 2.67
Co: 0.5000 0.7500 0.7500  4 Al 2.55-2.65, 4 Zn 2.63, 2 Co 2.63

***

# 2
Compound: B3PtO
Source: Alexandria via LeMat-Bulk
Functional: PBE
Structure: optimized geometry

ΔE_f (raw): 1.198 eV/atom
calculated volume: 13.4 Å³ per atom
energy above the most stable polymorph in this dataset: 0.000 eV per atom

Cell: 4.0651 4.0651 4.0651 Å, 90.00 90.00 90.00°
With the nearest neighbours (Å) after each atom.
Atoms (fractional coordinates):
Pt: 0.0000 0.0000 0.0000  6 B 2.03
B: 0.0000 0.5000 0.0000  2 Pt 2.03
B: 0.5000 0.0000 0.0000  2 Pt 2.03
B: 0.0000 0.0000 0.5000  2 Pt 2.03
O: 0.5000 0.5000 0.5000  12 B 2.87

***

> What is the calculated volume in the first record?

13.5 Å³ per atom

***

> The lowest calculated volume belongs to which entry?

B3PtO